A plane-wave DFT calculation with GGA-PBEsol was carried out for a relaxed structure of Pm2AgSn.

The structure in POSCAR format:
```
Pm2AgSn
1.0
-3.138 -3.855 -1.740
-0.774 -4.297 2.946
-4.675 -0.822 2.281
Pm Sn Ag
2 1 1
direct
0.750 0.750 0.750 Pm
0.250 0.250 0.250 Pm
0.000 0.000 0.000 Sn
0.500 0.500 0.500 Ag
```

Properties
Calculated formation energy, meV/atom: -542



A plane-wave DFT calculation with GGA-PBEsol was carried out for a relaxed structure of HfZn2HgOs.

The structure in POSCAR format:
```
HfZn2HgOs
1.0
-4.253 -2.067 -1.356
1.734 -0.571 -4.568
1.855 -4.661 1.287
Zn Os Hg Hf
2 1 1 1
direct
0.500 0.000 0.000 Zn
0.000 0.500 0.000 Zn
0.500 0.500 0.500 Os
0.000 0.000 0.500 Hg
0.000 0.000 0.000 Hf
```

Properties
Calculated formation energy, meV/atom: 2131



> Which of these has the lowest calculated formation energy?

Pm2AgSn



> Look up the calculated formation energy of the first one.

-542 meV/atom



> The lowest calculated formation energy belongs to which entry?

Pm2AgSn